Material: Mo2P3O12
Method: DFT, PBE with a Hubbard U
State: relaxed

Cell and atoms, written as CIF:
```
data_Mo2P3O12
_symmetry_space_group_name_H-M 'P 1 21/c 1'
_symmetry_Int_Tables_number 14
_cell_length_a 8.703
_cell_length_b 8.859
_cell_length_c 14.935
_cell_angle_alpha 90.00
_cell_angle_beta 125.32
_cell_angle_gamma 90.00
loop_
_symmetry_equiv_pos_as_xyz
'x,y,z'
'-x,-y,-z'
'-x,y+1/2,-z+1/2'
'x,-y+1/2,z+1/2'
loop_
_atom_site_label
_atom_site_type_symbol
_atom_site_fract_x
_atom_site_fract_y
_atom_site_fract_z
Mo1 Mo 0.130 0.035 0.380
Mo2 Mo 0.367 0.037 0.119
P1 P 0.037 0.750 0.005
P2 P 0.249 0.114 0.854
P3 P 0.463 0.612 0.856
O1 O 0.018 0.686 0.094
O2 O 0.026 0.636 0.927
O3 O 0.080 0.009 0.778
O4 O 0.135 0.139 0.067
O5 O 0.208 0.219 0.326
O6 O 0.219 0.656 0.562
O7 O 0.300 0.612 0.869
O8 O 0.324 0.079 0.973
O9 O 0.350 0.066 0.538
O10 O 0.409 0.070 0.840
O11 O 0.421 0.003 0.266
O12 O 0.482 0.729 0.320
```

Properties
* excess energy over the best structure of this formula in the dataset: 0.067 eV/f.u.